Below is Mo2HOsRu after structural relaxation, with properties calculated at the GGA-PBE level.

Results
Uncorrected energy in eV per atom: -9.061
Total magnetization in μB per cell: 0.0
V in Å³/atom: 12.4
Polymorph energy (0 for the lowest one) in meV per atom: 0.0

```
data_Mo2HOsRu
_symmetry_space_group_name_H-M 'P 4/m m m'
_symmetry_Int_Tables_number 123
_symmetry_space_group_name_Hall '-P 4 2'
_cell_length_a 3.9936
_cell_length_b 3.9936
_cell_length_c 3.8771
_cell_angle_alpha 90.00
_cell_angle_beta 90.00
_cell_angle_gamma 90.00
loop_
_atom_site_label
_atom_site_type_symbol
_atom_site_fract_x
_atom_site_fract_y
_atom_site_fract_z
_atom_site_occupancy
Mo1 Mo 0.0000 0.5000 0.0000 1
H1 H 0.0000 0.0000 0.0000 1
Os1 Os 0.5000 0.5000 0.5000 1
Ru1 Ru 0.0000 0.0000 0.5000 1
```